Record 1
VASP calculation (PBE) on crystalline Gd2ZrRh at its relaxed geometry.

Cell: 3.500 3.500 7.877 Å, 90.00 90.00 90.00°
Site moments in Bohr magnetons follow the coordinates.
Positions (direct):
Gd 0.000 0.000 0.789  7.04
Zr 0.500 0.500 0.500  0.03
Gd 0.000 0.000 0.211  7.04
Rh 0.500 0.500 0.000  -0.07


Record 2
VASP calculation (PBE) on crystalline GdZrRh2 at its relaxed geometry.

Cell: 3.348 3.348 6.929 Å, 90.00 90.00 90.00°
Site moments in Bohr magnetons follow the coordinates.
Positions (direct):
Rh 0.000 0.000 0.777  -0.03
Gd 0.500 0.500 0.500  7.02
Zr 0.500 0.500 0.000  0.02
Rh 0.000 0.000 0.223  -0.03


Record order is preserved below.
Energy: -0.831 -0.744 Ry per atom
Record order is preserved below.
Ρ: 8.75 9.71 Mg/m³
Record order is preserved below.
Total magnetization: 3.582 1.773 μB per atom